Compound: BaNaHg2Pd
Source: Alexandria via LeMat-Bulk
Functional: PBE-GGA
Structure: relaxed

Lattice parameters (Å, degrees): 4.460 4.594 13.699 90.00 90.00 90.00
Space group Imm2 (No. 44)
Symmetry-distinct sites (fractional):
Ba 0.000 0.000 0.000
Na 0.000 0.500 0.771
Hg 0.000 0.000 0.620
Hg 0.000 0.500 0.286
Pd 0.000 0.000 0.417

Results
**Calculated formation energy**: -0.4067 eV per atom
**Energy above the lowest structure with this stoichiometry**: 0.0 meV per atom